Crystalline AlAgH2 at its relaxed geometry. Source: the Alexandria database, functional PBE.

The space group is R-3m (No. 166, hexagonal axes) and the conventional cell measures 2.9062, 2.9062 and 18.4405 Å, with angles of 90.00, 90.00 and 120.00 degrees. The asymmetric unit holds Al at (0.0000, 0.0000, 0.0000), Ag at (0.0000, 0.0000, 0.5000) and H at (0.0000, 0.0000, 0.2308).

For the total energy, the calculation gives -34.43 eV per cell. As for the density of states at the Fermi level: 1.11 states/eV/f.u. As for the calculated density: 5.05 g/cm³.